No. 1
! AuS3O4 | the Open Quantum Materials Database | PBE | relaxed; values from VASP
! space-group type = I4/mmm, No. 139
! total energy = -3.649 eV per atom
&SYSTEM
  ibrav = 0, nat = 8, ntyp = 3
/
ATOMIC_SPECIES
Au 196.97 Au.upf
O 16.00 O.upf
S 32.06 S.upf
CELL_PARAMETERS angstrom
-2.305 2.305 4.563
2.305 -2.305 4.563
2.305 2.305 -4.563
ATOMIC_POSITIONS crystal
Au 0.000 0.000 0.000
O 0.289 0.289 0.000
O 0.711 0.711 0.000
O 0.500 0.000 0.500
O 0.000 0.500 0.500
S 0.500 0.500 0.000
S 0.750 0.250 0.500
S 0.250 0.750 0.500



No. 2
! Au2SO | the Open Quantum Materials Database | PBE | relaxed; values from VASP
! space-group type = Pmc2_1, No. 26
! energy above the lowest structure with this stoichiometry = 1.41 eV per formula unit
&SYSTEM
  ibrav = 0, nat = 8, ntyp = 3
/
ATOMIC_SPECIES
Au 196.97 Au.upf
O 16.00 O.upf
S 32.06 S.upf
CELL_PARAMETERS angstrom
3.519 0.000 0.000
0.000 7.750 0.000
0.000 0.000 5.110
ATOMIC_POSITIONS crystal
Au 0.500 0.867 0.120
Au 0.000 0.339 0.127
Au 0.500 0.133 0.620
Au 0.000 0.661 0.627
O 0.500 0.138 0.117
O 0.500 0.862 0.617
S 0.000 0.648 0.127
S 0.000 0.352 0.627



No. 3
! Au2SO4 | the Open Quantum Materials Database | PBE | relaxed; values from VASP
! space-group type = C2/c, No. 15
! energy above the lowest structure with this stoichiometry = 1.78 eV per formula unit
&SYSTEM
  ibrav = 0, nat = 14, ntyp = 3
/
ATOMIC_SPECIES
Au 196.97 Au.upf
O 16.00 O.upf
S 32.06 S.upf
CELL_PARAMETERS angstrom
-0.409 4.780 6.611
-5.186 2.996 5.554
2.322 -7.020 1.360
ATOMIC_POSITIONS crystal
Au 0.679 0.682 0.047
Au 0.318 0.321 0.453
Au 0.682 0.679 0.547
Au 0.321 0.318 0.953
O 0.284 0.351 0.201
O 0.047 0.087 0.202
O 0.913 0.953 0.298
O 0.649 0.716 0.299
O 0.351 0.284 0.701
O 0.087 0.047 0.702
O 0.953 0.913 0.798
O 0.716 0.649 0.799
S 0.834 0.166 0.250
S 0.166 0.834 0.750



No. 4
! Au2SO | the Open Quantum Materials Database | PBE | relaxed; values from VASP
! space-group type = P2_1/c, No. 14
! energy above the lowest structure with this stoichiometry = 0.71 eV per formula unit
&SYSTEM
  ibrav = 0, nat = 16, ntyp = 3
/
ATOMIC_SPECIES
Au 196.97 Au.upf
O 16.00 O.upf
S 32.06 S.upf
CELL_PARAMETERS angstrom
6.320 0.000 0.280
0.000 7.334 0.000
-0.365 0.000 6.191
ATOMIC_POSITIONS crystal
Au 0.923 0.241 0.007
Au 0.560 0.628 0.224
Au 0.440 0.128 0.276
Au 0.077 0.741 0.493
Au 0.923 0.259 0.507
Au 0.560 0.872 0.724
Au 0.440 0.372 0.776
Au 0.077 0.759 0.993
O 0.627 0.355 0.059
O 0.373 0.855 0.441
O 0.627 0.145 0.559
O 0.373 0.645 0.941
S 0.754 0.893 0.048
S 0.246 0.393 0.452
S 0.754 0.607 0.548
S 0.246 0.107 0.952



No. 5
! Au2SO4 | the Open Quantum Materials Database | PBE | relaxed; values from VASP
! space-group type = Fddd, No. 70
! energy above the lowest structure with this stoichiometry = 0.00 eV per formula unit
&SYSTEM
  ibrav = 0, nat = 14, ntyp = 3
/
ATOMIC_SPECIES
Au 196.97 Au.upf
O 16.00 O.upf
S 32.06 S.upf
CELL_PARAMETERS angstrom
0.000 5.665 5.930
2.888 0.000 5.930
2.888 5.665 0.000
ATOMIC_POSITIONS crystal
Au 0.048 0.452 0.048
Au 0.202 0.798 0.202
Au 0.452 0.048 0.452
Au 0.798 0.202 0.798
O 0.494 0.358 0.352
O 0.796 0.352 0.358
O 0.892 0.756 0.454
O 0.352 0.796 0.494
O 0.898 0.454 0.756
O 0.358 0.494 0.796
O 0.454 0.898 0.892
O 0.756 0.892 0.898
S 0.500 0.500 0.500
S 0.750 0.750 0.750



No. 6
! Au2SO | the Open Quantum Materials Database | PBE | relaxed; values from VASP
! space-group type = Cm, No. 8
! energy above the lowest structure with this stoichiometry = 0.00 eV per formula unit
&SYSTEM
  ibrav = 0, nat = 4, ntyp = 3
/
ATOMIC_SPECIES
Au 196.97 Au.upf
O 16.00 O.upf
S 32.06 S.upf
CELL_PARAMETERS angstrom
4.140 -1.660 0.000
4.140 1.660 0.000
-1.296 0.000 6.014
ATOMIC_POSITIONS crystal
Au 0.505 0.505 0.517
Au 0.006 0.006 0.989
O 0.112 0.112 0.715
S 0.877 0.877 0.279